Entry 1:
DFT (GGA-PBE) results for a relaxed structure of TaTlSn2.

extended XYZ file:
```
4
Lattice="3.1878 0.0000 0.0000 1.5939 2.7607 0.0000 1.5939 0.9202 11.3506" Properties=species:S:1:pos:R:3 pbc="T T T"
Sn 4.7818 2.7607 3.2677
Sn 1.5939 0.9202 8.0829
Tl 0.0000 0.0000 0.0000
Ta 3.1878 1.8405 5.6753
```

Computed properties:
The calculation puts the total energy at -5.3928 eV per atom. The density is 10.4 Mg/m³. The value obtained for the size of the total moment is 0.00 μB per atom.

Entry 2:
DFT (GGA-PBE) results for a relaxed structure of TaTl2Sn.

extended XYZ file:
```
4
Lattice="-0.7814 -0.6052 5.1203 0.3718 4.1029 3.1973 -4.2845 1.9618 2.2336" Properties=species:S:1:pos:R:3 pbc="T T T"
Ta -2.3470 2.7297 5.2756
Tl -3.5206 4.0946 7.9133
Tl -1.1735 1.3649 2.6378
Sn 0.0000 0.0000 0.0000
```

Computed properties:
The calculation puts the total energy at -4.2625 eV per atom. The density is 11.7 Mg/m³. The value obtained for the size of the total moment is 0.57 μB per atom.

Entry 3:
DFT (GGA-PBE) results for a relaxed structure of TaTlSn2.

extended XYZ file:
```
8
Lattice="4.3015 0.0000 0.0000 0.0000 4.3015 0.0000 2.1508 2.1508 10.6315" Properties=species:S:1:pos:R:3 pbc="T T T"
Sn 1.1339 3.2261 2.6579
Sn 3.2261 3.2847 7.9736
Sn 5.3769 5.3183 7.9736
Sn 3.1676 1.0754 2.6579
Tl 0.0000 0.0000 0.0000
Tl 4.3015 2.1508 5.3157
Ta 2.1508 2.1508 0.0000
Ta 2.1508 4.3015 5.3157
```

Computed properties:
The calculation puts the total energy at -4.9342 eV per atom. The density is 10.5 Mg/m³. The value obtained for the size of the total moment is 0.00 μB per atom.

Entry 4:
DFT (GGA-PBE) results for a relaxed structure of TaTl3Sn.

extended XYZ file:
```
5
Lattice="-1.9986 3.8362 3.3706 -3.8445 -3.5127 1.7183 3.3611 -1.7368 3.9696" Properties=species:S:1:pos:R:3 pbc="T T T"
Tl -0.9993 1.9181 1.6853
Tl 1.6806 -0.8684 1.9848
Tl -1.9222 -1.7564 0.8591
Ta 0.0000 0.0000 0.0000
Sn -1.2410 -0.7067 4.5293
```

Computed properties:
The calculation puts the total energy at -3.8359 eV per atom. The density is 9.2 Mg/m³. The value obtained for the size of the total moment is 0.00 μB per atom.

Entry 5:
DFT (GGA-PBE) results for a relaxed structure of Ta2Tl2Sn.

extended XYZ file:
```
5
Lattice="-0.0794 3.1827 2.4866 -3.3858 1.3036 -1.7766 -5.6423 -1.5192 5.0457" Properties=species:S:1:pos:R:3 pbc="T T T"
Ta -6.6787 1.3940 4.5653
Ta -2.4289 1.5731 1.1904
Sn 0.0000 0.0000 0.0000
Tl -5.3804 1.0138 1.8121
Tl -3.7272 1.9533 3.9437
```

Computed properties:
The calculation puts the total energy at -5.7460 eV per atom. The density is 12.6 Mg/m³. The value obtained for the size of the total moment is 0.00 μB per atom.

Entry 6:
DFT (GGA-PBE) results for a relaxed structure of Ta2TlSn.

extended XYZ file:
```
4
Lattice="0.0000 3.4282 3.4282 3.4282 0.0000 3.4282 3.4282 3.4282 0.0000" Properties=species:S:1:pos:R:3 pbc="T T T"
Ta 1.7141 1.7141 1.7141
Ta 5.1423 5.1423 5.1423
Sn 0.0000 0.0000 0.0000
Tl 3.4282 3.4282 3.4282
```

Computed properties:
The calculation puts the total energy at -6.9012 eV per atom. The density is 14.1 Mg/m³. The value obtained for the size of the total moment is 0.00 μB per atom.

Entry 7:
DFT (GGA-PBE) results for a relaxed structure of TaTl2Sn2.

extended XYZ file:
```
10
Lattice="7.7754 0.0000 0.0000 0.0000 7.7754 0.0000 0.0000 0.0000 4.2598" Properties=species:S:1:pos:R:3 pbc="T T T"
Tl 5.0529 1.1652 0.0000
Tl 2.7225 6.6102 0.0000
Tl 6.6102 5.0529 0.0000
Tl 1.1652 2.7225 0.0000
Ta 3.8877 3.8877 0.0000
Ta 0.0000 0.0000 0.0000
Sn 6.5502 2.6625 2.1299
Sn 2.6625 1.2252 2.1299
Sn 5.1129 6.5502 2.1299
Sn 1.2252 5.1129 2.1299
```

Computed properties:
The calculation puts the total energy at -4.1719 eV per atom. The density is 10.7 Mg/m³. The value obtained for the size of the total moment is 0.00 μB per atom.

Entry 8:
DFT (GGA-PBE) results for a relaxed structure of Ta2Tl2Sn.

extended XYZ file:
```
10
Lattice="7.2654 0.0000 0.0000 0.0000 7.2654 0.0000 0.0000 0.0000 4.3123" Properties=species:S:1:pos:R:3 pbc="T T T"
Sn 3.6327 3.6327 0.0000
Sn 0.0000 0.0000 0.0000
Tl 6.0366 2.4040 2.1562
Tl 2.4040 1.2287 2.1562
Tl 4.8614 6.0366 2.1562
Tl 1.2287 4.8614 2.1562
Ta 2.6682 6.3009 0.0000
Ta 0.9644 2.6682 0.0000
Ta 6.3009 4.5971 0.0000
Ta 4.5971 0.9644 0.0000
```

Computed properties:
The calculation puts the total energy at -6.0073 eV per atom. The density is 13.0 Mg/m³. The value obtained for the size of the total moment is 0.00 μB per atom.

Entry 9:
DFT (GGA-PBE) results for a relaxed structure of Ta2TlSn.

extended XYZ file:
```
8
Lattice="-1.8299 3.3254 6.7303 -1.8290 -6.9161 2.9199 0.9637 -2.1413 5.7554" Properties=species:S:1:pos:R:3 pbc="T T T"
Ta -2.4672 -4.7043 12.7422
Ta -0.6608 -2.9960 7.9538
Ta -1.1425 -4.4213 4.1474
Ta -1.1199 0.6576 5.9680
Tl -1.3478 -0.3056 8.6554
Tl 0.0000 0.0000 0.0000
Sn -1.8295 -1.7954 4.8251
Sn -1.3474 -5.4264 6.7502
```

Computed properties:
The calculation puts the total energy at -6.6925 eV per atom. The density is 12.9 Mg/m³. The value obtained for the size of the total moment is 0.00 μB per atom.

Entry 10:
DFT (GGA-PBE) results for a relaxed structure of TaTlSn2.

extended XYZ file:
```
4
Lattice="1.9496 -4.6471 -1.0721 -2.9926 -3.6249 -2.1095 0.7351 -1.4177 -4.8985" Properties=species:S:1:pos:R:3 pbc="T T T"
Sn -0.0770 -2.4224 -2.0200
Sn -0.2309 -7.2673 -6.0601
Tl -0.1540 -4.8449 -4.0401
Ta 0.0000 0.0000 0.0000
```

Computed properties:
The calculation puts the total energy at -4.9024 eV per atom. The density is 10.7 Mg/m³. The value obtained for the size of the total moment is 0.00 μB per atom.

Entry 11:
DFT (GGA-PBE) results for a relaxed structure of TaTl2Sn2.

extended XYZ file:
```
5
Lattice="-0.4689 3.0181 2.6279 -3.9739 -0.6635 0.0529 -1.2305 -4.2473 7.7472" Properties=species:S:1:pos:R:3 pbc="T T T"
Sn -1.9604 -0.0260 5.8578
Sn -3.7129 -1.8668 4.5702
Tl -2.0469 0.2221 2.4685
Tl -3.6263 -2.1149 7.9595
Ta 0.0000 0.0000 0.0000
```

Computed properties:
The calculation puts the total energy at -4.0371 eV per atom. The density is 10.0 Mg/m³. The value obtained for the size of the total moment is 0.24 μB per atom.

Entry 12:
DFT (GGA-PBE) results for a relaxed structure of Ta2TlZnSn.

extended XYZ file:
```
5
Lattice="5.2001 0.0000 0.0000 0.0000 5.5970 0.0000 0.0000 0.0000 5.2001" Properties=species:S:1:pos:R:3 pbc="T T T"
Ta 2.6001 0.0000 0.0000
Ta 0.0000 0.0000 2.6001
Sn 0.0000 0.0000 0.0000
Zn 2.6001 2.7985 2.6001
Tl 0.0000 2.7985 0.0000
```

Computed properties:
The calculation puts the total energy at -4.3767 eV per atom. The density is 8.2 Mg/m³. The value obtained for the size of the total moment is 0.59 μB per atom.

Computed values of energy of formation from the pure elements (unit: eV/atom) for the preceding records, in sequence: 0.163 0.885 0.622 0.755 0.742 0.617 0.746 0.481 0.826 0.654 0.881 1.893.